VASP calculation (PBE-GGA) on an optimized crystal structure of Fe2SbSe.

Output
Distance to the lowest polymorph of the same formula: 0.078 eV per atom
Energy relative to the elements, uncorrected: 4.1 kJ per mole of atoms
N(E_F): 7.37 states/eV per cell

Geometry as CIF:
```
data_Fe2SbSe
_cell_length_a 7.8198
_cell_length_b 3.1806
_cell_length_c 6.5024
_cell_angle_alpha 90.00
_cell_angle_beta 100.91
_cell_angle_gamma 90.00
_space_group_name_H-M_alt 'C 1 m 1'
_space_group_IT_number 8
loop_
_space_group_symop_operation_xyz
'x,y,z'
'x,-y,z'
'x+1/2,y+1/2,z'
'x+1/2,-y+1/2,z'
loop_
_atom_site_label
_atom_site_type_symbol
_atom_site_fract_x
_atom_site_fract_y
_atom_site_fract_z
Fe1 Fe 0.0000 0.0000 0.0000
Fe2 Fe 0.2352 0.5000 0.1434
Sb1 Sb 0.2499 0.0000 0.7836
Se1 Se 0.4713 0.0000 0.2980
```

---

VASP calculation (PBE-GGA) on an optimized crystal structure of BaSmGe2.

Output
ΔH_f (0 K): -0.41 eV per atom
N(E_F): 15.76 states/eV per cell

Geometry as CIF:
```
data_BaSmGe2
_cell_length_a 4.8232
_cell_length_b 4.8232
_cell_length_c 19.1242
_cell_angle_alpha 90.00
_cell_angle_beta 90.00
_cell_angle_gamma 120.00
_space_group_name_H-M_alt 'R -3 m'
_space_group_IT_number 166
_space_group_name_Hall '-R 3 2"'
loop_
_atom_site_label
_atom_site_type_symbol
_atom_site_fract_x
_atom_site_fract_y
_atom_site_fract_z
Ba1 Ba 0.0000 0.0000 0.0000
Sm1 Sm 0.0000 0.0000 0.5000
Ge1 Ge 0.0000 0.0000 0.2236
```

---

VASP calculation (PBE-GGA) on an optimized crystal structure of AgGe2As3.

Output
ΔH_f (0 K): 0.03 eV per atom
N(E_F): 2.55 states/eV per cell

Geometry as CIF:
```
data_AgGe2As3
_cell_length_a 7.1159
_cell_length_b 12.4455
_cell_length_c 7.0875
_cell_angle_alpha 90.00
_cell_angle_beta 107.96
_cell_angle_gamma 90.00
_space_group_name_H-M_alt 'C 1 c 1'
_space_group_IT_number 9
loop_
_space_group_symop_operation_xyz
'x,y,z'
'x,-y,z+1/2'
'x+1/2,y+1/2,z'
'x+1/2,-y+1/2,z+1/2'
loop_
_atom_site_label
_atom_site_type_symbol
_atom_site_fract_x
_atom_site_fract_y
_atom_site_fract_z
Ag1 Ag 0.0000 0.0824 0.0000
Ge1 Ge 0.0197 0.4166 0.0052
Ge2 Ge 0.4981 0.2452 0.0026
As1 As 0.3750 0.2452 0.6240
As2 As 0.3794 0.4085 0.1221
As3 As 0.3812 0.0787 0.1306
```

---

Copy entry 3 word for word.
VASP calculation (PBE-GGA) on an optimized crystal structure of AgGe2As3.

Output
ΔH_f (0 K): 0.03 eV per atom
N(E_F): 2.55 states/eV per cell

Geometry as CIF:
```
data_AgGe2As3
_cell_length_a 7.1159
_cell_length_b 12.4455
_cell_length_c 7.0875
_cell_angle_alpha 90.00
_cell_angle_beta 107.96
_cell_angle_gamma 90.00
_space_group_name_H-M_alt 'C 1 c 1'
_space_group_IT_number 9
loop_
_space_group_symop_operation_xyz
'x,y,z'
'x,-y,z+1/2'
'x+1/2,y+1/2,z'
'x+1/2,-y+1/2,z+1/2'
loop_
_atom_site_label
_atom_site_type_symbol
_atom_site_fract_x
_atom_site_fract_y
_atom_site_fract_z
Ag1 Ag 0.0000 0.0824 0.0000
Ge1 Ge 0.0197 0.4166 0.0052
Ge2 Ge 0.4981 0.2452 0.0026
As1 As 0.3750 0.2452 0.6240
As2 As 0.3794 0.4085 0.1221
As3 As 0.3812 0.0787 0.1306
```